(1)
## La4Tm3Se8 (PBE)

Data for a geometry-optimized La4Tm3Se8 structure.

energy above the lowest structure with this stoichiometry	245	kJ/mol of formula units
M_tot	0.000	μB per atom
electronic total energy	-5.7533	eV per atom
D(E_F)	0.63	states/eV per atom

Cell lengths 9.1272, 9.1272, 9.1272 Å; angles 52.80, 52.80, 52.80 degrees
Positions (direct):
La  0.0000  0.0000  0.0000
La  0.1486  0.1486  0.1486
La  0.5000  0.5000  0.5000
La  0.8514  0.8514  0.8514
Tm  0.0000  0.5000  0.5000
Tm  0.5000  0.0000  0.5000
Tm  0.5000  0.5000  0.0000
Se  0.2498  0.2498  0.7302
Se  0.2498  0.7302  0.2498
Se  0.2698  0.7502  0.7502
Se  0.2712  0.2712  0.2712
Se  0.7288  0.7288  0.7288
Se  0.7302  0.2498  0.2498
Se  0.7502  0.2698  0.7502
Se  0.7502  0.7502  0.2698


(2)
## La4TmSe7 (PBE)

Data for a geometry-optimized La4TmSe7 structure.

M_tot	0.000	μB per atom
electronic total energy	-6.0368	eV per atom
D(E_F)	0.15	states/eV per atom

Cell lengths 7.2912, 7.2912, 12.4928 Å; angles 104.73, 104.73, 33.12 degrees
Positions (direct):
La  0.0000  0.0000  0.0000
La  0.1918  0.1918  0.7664
La  0.5872  0.5872  0.3772
La  0.8882  0.8882  0.5670
Tm  0.7741  0.7741  0.1471
Se  0.1608  0.1608  0.2192
Se  0.2266  0.2266  0.5199
Se  0.3772  0.3772  0.0725
Se  0.5494  0.5494  0.6229
Se  0.6312  0.6312  0.9313
Se  0.8495  0.8495  0.7867
Se  0.9254  0.9254  0.3450


(3)
## LaTmSe2 (PBE)

Data for a geometry-optimized LaTmSe2 structure.

energy above the lowest structure with this stoichiometry	12	kJ/mol of formula units
M_tot	0.000	μB per atom
electronic total energy	-5.9046	eV per atom
D(E_F)	0.32	states/eV per atom

Cell lengths 7.6155, 7.6155, 7.6155 Å; angles 30.94, 30.94, 30.94 degrees
Positions (direct):
La  0.0000  0.0000  0.0000
Tm  0.8241  0.8241  0.8241
Se  0.2370  0.2370  0.2370
Se  0.4208  0.4208  0.4208


(4)
## La5Tm3Se8 (PBE)

Data for a geometry-optimized La5Tm3Se8 structure.

M_tot	0.000	μB per atom
electronic total energy	-5.9890	eV per atom
D(E_F)	0.61	states/eV per atom

Cell lengths 8.4645, 8.4645, 8.4645 Å; angles 59.17, 59.17, 59.17 degrees
Positions (direct):
La  0.0000  0.0000  0.0000
La  0.0000  0.5000  0.5000
La  0.5000  0.0000  0.5000
La  0.5000  0.5000  0.0000
La  0.5000  0.5000  0.5000
Tm  0.0000  0.0000  0.5000
Tm  0.0000  0.5000  0.0000
Tm  0.5000  0.0000  0.0000
Se  0.2323  0.7499  0.7499
Se  0.2417  0.2417  0.2417
Se  0.2501  0.2501  0.7677
Se  0.2501  0.7677  0.2501
Se  0.7499  0.2323  0.7499
Se  0.7499  0.7499  0.2323
Se  0.7583  0.7583  0.7583
Se  0.7677  0.2501  0.2501


(5)
## La4Tm3Se8 (PBE)

Data for a geometry-optimized La4Tm3Se8 structure.

energy above the lowest structure with this stoichiometry	0	kJ/mol of formula units
M_tot	0.000	μB per atom
electronic total energy	-5.9227	eV per atom
D(E_F)	0.53	states/eV per atom

Cell lengths 8.3423, 8.3423, 8.3133 Å; angles 119.80, 119.80, 90.07 degrees
Positions (direct):
La  0.0000  0.0000  0.0000
La  0.0000  0.5000  0.0000
La  0.5000  0.0000  0.0000
La  0.5000  0.5000  0.5000
Tm  0.0000  0.5000  0.5000
Tm  0.5000  0.0000  0.5000
Tm  0.5000  0.5000  0.0000
Se  0.2421  0.7579  0.5000
Se  0.2497  0.2497  0.5156
Se  0.2519  0.2519  0.9867
Se  0.2579  0.7421  0.0000
Se  0.7421  0.2579  0.0000
Se  0.7481  0.7481  0.0133
Se  0.7503  0.7503  0.4844
Se  0.7579  0.2421  0.5000


(6)
## LaTmSe2 (PBE)

Data for a geometry-optimized LaTmSe2 structure.

energy above the lowest structure with this stoichiometry	0	kJ/mol of formula units
M_tot	0.000	μB per atom
electronic total energy	-5.9358	eV per atom
D(E_F)	0.48	states/eV per atom

Cell lengths 7.3999, 7.3999, 7.3999 Å; angles 32.17, 32.17, 32.17 degrees
Positions (direct):
La  0.0000  0.0000  0.0000
Tm  0.5000  0.5000  0.5000
Se  0.2415  0.2415  0.2415
Se  0.7585  0.7585  0.7585


(7)
## LaTmSe3 (PBE)

Data for a geometry-optimized LaTmSe3 structure.

energy above the lowest structure with this stoichiometry	1	kJ/mol of formula units
M_tot	0.000	μB per atom
electronic total energy	-5.9138	eV per atom

Cell lengths 8.1716, 4.1460, 8.3259 Å; angles 90.00, 95.56, 90.00 degrees
Positions (direct):
La  0.1248  0.2500  0.2743
La  0.8752  0.7500  0.7257
Tm  0.3516  0.7500  0.8324
Tm  0.6484  0.2500  0.1676
Se  0.1267  0.2500  0.8905
Se  0.1896  0.7500  0.5303
Se  0.4082  0.7500  0.1803
Se  0.5918  0.2500  0.8197
Se  0.8104  0.2500  0.4697
Se  0.8733  0.7500  0.1095


(8)
## La2TmSe3 (PBE)

Data for a geometry-optimized La2TmSe3 structure.

M_tot	0.000	μB per atom
electronic total energy	-6.0203	eV per atom
D(E_F)	0.54	states/eV per atom

Cell lengths 9.3716, 9.3716, 9.3716 Å; angles 153.73, 153.73, 37.50 degrees
Positions (direct):
La  0.1702  0.1702  0.0000
La  0.8298  0.8298  0.0000
Tm  0.5000  0.5000  0.0000
Se  0.0000  0.0000  0.0000
Se  0.3418  0.3418  0.0000
Se  0.6582  0.6582  0.0000


(9)
## LaTm4Se5 (PBE)

Data for a geometry-optimized LaTm4Se5 structure.

M_tot	0.000	μB per atom
electronic total energy	-5.7319	eV per atom
D(E_F)	0.57	states/eV per atom

Cell lengths 10.8411, 10.8411, 10.8411 Å; angles 158.46, 149.07, 38.00 degrees
Positions (direct):
La  0.0000  0.0000  0.0000
Tm  0.2042  0.2042  0.0000
Tm  0.4017  0.4017  0.0000
Tm  0.5983  0.5983  0.0000
Tm  0.7958  0.7958  0.0000
Se  0.1092  0.6092  0.5000
Se  0.3023  0.8023  0.5000
Se  0.5000  0.0000  0.5000
Se  0.6977  0.1977  0.5000
Se  0.8908  0.3908  0.5000


(10)
## La4TmSe6 (PBE)

Data for a geometry-optimized La4TmSe6 structure.

M_tot	0.000	μB per atom
electronic total energy	-5.9893	eV per atom
D(E_F)	0.57	states/eV per atom

Cell lengths 8.4232, 8.4232, 8.4232 Å; angles 90.64, 90.64, 90.64 degrees
Positions (direct):
La  0.1317  0.7500  0.3683
La  0.2500  0.2500  0.2500
La  0.2500  0.6317  0.8683
La  0.3683  0.1317  0.7500
La  0.6317  0.8683  0.2500
La  0.7500  0.3683  0.1317
La  0.7500  0.7500  0.7500
La  0.8683  0.2500  0.6317
Tm  0.0000  0.0000  0.0000
Tm  0.5000  0.5000  0.5000
Se  0.0607  0.9185  0.6866
Se  0.0815  0.3134  0.9393
Se  0.1866  0.4185  0.5607
Se  0.3134  0.9393  0.0815
Se  0.4185  0.5607  0.1866
Se  0.4393  0.8134  0.5815
Se  0.5607  0.1866  0.4185
Se  0.5815  0.4393  0.8134
Se  0.6866  0.0607  0.9185
Se  0.8134  0.5815  0.4393
Se  0.9185  0.6866  0.0607
Se  0.9393  0.0815  0.3134


(11)
## LaTm5Se6 (PBE)

Data for a geometry-optimized LaTm5Se6 structure.

M_tot	0.000	μB per atom
electronic total energy	-5.7272	eV per atom
D(E_F)	0.48	states/eV per atom

Cell lengths 7.0469, 7.0469, 7.0566 Å; angles 99.57, 99.57, 120.25 degrees
Positions (direct):
La  0.0000  0.0000  0.0000
Tm  0.1575  0.8425  0.5000
Tm  0.3336  0.6664  0.0000
Tm  0.5000  0.5000  0.5000
Tm  0.6664  0.3336  0.0000
Tm  0.8425  0.1575  0.5000
Se  0.0864  0.4355  0.2604
Se  0.2645  0.2645  0.7477
Se  0.4355  0.0864  0.2604
Se  0.5645  0.9136  0.7396
Se  0.7355  0.7355  0.2523
Se  0.9136  0.5645  0.7396


(12)
## La3Y3TmSe8 (PBE)

Data for a geometry-optimized La3Y3TmSe8 structure.

M_tot	0.000	μB per atom
electronic total energy	-6.3519	eV per atom
D(E_F)	0.52	states/eV per atom

Cell lengths 8.4285, 8.4285, 8.4285 Å; angles 58.86, 58.86, 58.86 degrees
Positions (direct):
La  0.0000  0.5000  0.5000
La  0.5000  0.0000  0.5000
La  0.5000  0.5000  0.0000
Y  0.0000  0.0000  0.5000
Y  0.0000  0.5000  0.0000
Y  0.5000  0.0000  0.0000
Tm  0.5000  0.5000  0.5000
Se  0.2443  0.2443  0.2443
Se  0.2444  0.7444  0.7444
Se  0.2556  0.2556  0.7556
Se  0.2556  0.7556  0.2556
Se  0.7444  0.2444  0.7444
Se  0.7444  0.7444  0.2444
Se  0.7556  0.2556  0.2556
Se  0.7557  0.7557  0.7557


Energy relative to the elements, uncorrected in eV/atom, matching the order above: -1.687; -1.989; -1.813; -1.869; -1.856; -1.844; -1.943; -1.890; -1.708; -1.890; -1.711; -1.917